## PrScIrPt (GGA-PBE)

Data for a relaxed PrScIrPt crystal.

The structure in extended XYZ format:
```
4
Lattice="-2.406 4.244 -0.147 -2.189 1.705 4.015 1.809 3.911 2.292" Properties=species:S:1:pos:R:3 pbc="T T T"
Ir -2.090 7.395 4.620
Sc -1.393 4.930 3.080
Pt -0.697 2.465 1.540
Pr 0.000 0.000 0.000
```

Summary:
ρ, Mg/m³: 11.576
Space group: F-43m, No. 216
Total DFT energy (no corrections), Ry/atom: -0.538

---

## Pa2NbZn6 (GGA-PBE)

Data for a relaxed Pa2NbZn6 crystal.

The structure in extended XYZ format:
```
9
Lattice="-0.598 -1.121 -2.783 -2.617 -6.646 3.238 -7.571 -0.714 1.914" Properties=species:S:1:pos:R:3 pbc="T T T"
Zn -5.332 -7.434 2.455
Zn -4.498 -5.313 1.424
Zn -5.455 -1.047 -0.087
Zn -6.289 -3.168 0.945
Zn -8.705 -3.395 1.554
Zn -2.082 -5.086 0.815
Pa -6.793 -4.907 3.435
Pa -3.395 -2.453 1.717
Nb 0.000 0.000 0.000
```

Summary:
ρ, Mg/m³: 9.656
Space group: P6/mmm, No. 191
Total DFT energy (no corrections), Ry/atom: -0.302

---

## ZrMn2Cr (GGA-PBE)

Data for a relaxed ZrMn2Cr crystal.

The structure in extended XYZ format:
```
4
Lattice="-5.036 0.226 6.945 -7.041 -0.217 4.901 -5.595 -2.463 6.023" Properties=species:S:1:pos:R:3 pbc="T T T"
Mn -0.044 -0.006 0.044
Mn -4.604 -0.639 4.655
Cr -13.040 -1.811 13.185
Zr -8.822 -1.225 8.920
```

Summary:
ρ, Mg/m³: 6.866
Space group: R3m, No. 160
Total DFT energy (no corrections), Ry/atom: -0.640
Energy relative to the lowest polymorph listed for this composition, meV/atom: 372

---

## La2BrCl (GGA-PBE)

Data for a relaxed La2BrCl crystal.

The structure in extended XYZ format:
```
4
Lattice="3.657 0.000 0.000 0.000 6.613 0.000 0.000 0.000 4.951" Properties=species:S:1:pos:R:3 pbc="T T T"
Br 1.829 0.000 2.475
Cl 0.000 3.307 2.475
La 1.829 3.307 0.000
La 0.000 0.000 0.000
```

Summary:
Formation energy (no corrections), meV/atom: -1269
ρ, Mg/m³: 5.452
Space group: Pmmm, No. 47
Total DFT energy (no corrections), Ry/atom: -0.339
Energy relative to the lowest polymorph listed for this composition, meV/atom: 152